1.
{"formula": "NbZnRu2", "functional": "PBE", "state": "optimized geometry", "lattice_angstrom": [[4.2662, 0.0000, 0.0000], [0.0000, 4.2662, 0.0000], [0.0000, 0.0000, 3.2691]], "species": ["Nb", "Zn", "Ru", "Ru"], "frac_coords": [[0.0000, 0.0000, 0.0000], [0.5000, 0.5000, 0.0000], [0.0000, 0.5000, 0.5000], [0.5000, 0.0000, 0.5000]], "spacegroup": "P4/mmm, No. 123", "ef_kj_per_mol_fu": -83}


2.
{"formula": "Li2CuMo", "functional": "PBE", "state": "optimized geometry", "lattice_angstrom": [[1.6109, -2.0168, 0.0000], [1.6109, 2.0168, 0.0000], [0.0000, 0.0000, 9.2099]], "species": ["Li", "Li", "Cu", "Mo"], "frac_coords": [[0.0000, 0.0000, 0.0000], [0.5000, 0.5000, 0.2847], [0.5000, 0.5000, 0.7750], [0.0000, 0.0000, 0.5401]], "spacegroup": "Cmm2, No. 35", "ef_kj_per_mol_fu": 77}